The following is a PBE calculation of a relaxed structure of Pm2Pr5HoTm, from the Alexandria database.

```
data_Pm2Pr5HoTm
_symmetry_space_group_name_H-M 'P 1'
_symmetry_Int_Tables_number 1
_cell_length_a 10.518
_cell_length_b 10.518
_cell_length_c 10.518
_cell_angle_alpha 131.83
_cell_angle_beta 131.83
_cell_angle_gamma 70.50
loop_
_symmetry_equiv_pos_as_xyz
'x,y,z'
loop_
_atom_site_label
_atom_site_type_symbol
_atom_site_fract_x
_atom_site_fract_y
_atom_site_fract_z
Pm1 Pm 0.123 0.623 0.746
Pm2 Pm 0.377 0.123 0.500
Pm3 Pm 0.623 0.877 0.500
Pm4 Pm 0.877 0.377 0.254
Pr1 Pr 0.000 0.000 0.000
Pr2 Pr 0.076 0.136 0.500
Pr3 Pr 0.136 0.636 0.060
Pr4 Pr 0.364 0.424 0.500
Pr5 Pr 0.424 0.924 0.060
Pr6 Pr 0.500 0.500 0.000
Pr7 Pr 0.576 0.076 0.940
Pr8 Pr 0.636 0.576 0.500
Pr9 Pr 0.864 0.364 0.940
Pr10 Pr 0.924 0.864 0.500
Ho1 Ho 0.250 0.250 0.000
Ho2 Ho 0.750 0.750 0.000
Tm1 Tm 0.250 0.750 0.500
Tm2 Tm 0.750 0.250 0.500
```

Calculated values
Crystal system: tetragonal
Total moment (μB/f.u.): 0.0
V (Å³ per cell): 633.04
Energy of formation from the pure elements (eV per atom): 0.280
Uncorrected energy (eV per atom): -4.44